TbMgCu | PBE | optimized geometry

The calculation puts the formation energy at -0.21 eV/atom. For the calculated volume, the calculation gives 21.9 Å³/atom. As for the crystal system: orthorhombic.

abc: 13.2540 3.8855 7.6379
angles: 90.00 90.00 90.00
Closest atoms and distances in Å follow each position.
Fractional positions:
Tb1 0.0436 0.0000 0.2244  5 Cu 2.96-3.22
Tb2 0.2500 0.0000 0.8516  5 Cu 2.94-3.09
Tb3 0.4564 0.0000 0.2244  5 Cu 2.96-3.22
Tb4 0.5436 0.0000 0.7756  5 Cu 2.96-3.22
Tb5 0.7500 0.0000 0.1484  5 Cu 2.94-3.09
Tb6 0.9564 0.0000 0.7756  5 Cu 2.96-3.22
Mg1 0.1225 0.5000 0.5635  3 Cu 2.72-2.94
Mg2 0.2500 0.5000 0.2034  4 Cu 2.69-2.87
Mg3 0.3775 0.5000 0.5635  3 Cu 2.72-2.94
Mg4 0.6225 0.5000 0.4365  3 Cu 2.72-2.94
Mg5 0.7500 0.5000 0.7966  4 Cu 2.69-2.87
Mg6 0.8775 0.5000 0.4365  3 Cu 2.72-2.94
Cu1 0.0929 0.5000 0.9455  1 Cu 2.60, 1 Mg 2.87
Cu2 0.2500 0.0000 0.4476  6 Mg 2.69-2.72
Cu3 0.4071 0.5000 0.9455  1 Cu 2.60, 1 Mg 2.87
Cu4 0.5929 0.5000 0.0545  1 Cu 2.60, 1 Mg 2.87
Cu5 0.7500 0.0000 0.5524  6 Mg 2.69-2.72
Cu6 0.9071 0.5000 0.0545  1 Cu 2.60, 1 Mg 2.87